(1)
Here is crystalline Li2Al2GePd5 at its relaxed geometry from Alexandria via LeMat-Bulk. Energies are from PBE.

extended XYZ file:
```
20
Lattice="-0.676 -3.434 -0.348 2.334 0.473 -9.211 9.040 -2.001 2.188" Properties=species:S:1:pos:R:3 pbc="T T T"
Pd 5.592 -2.729 -1.707
Pd 3.590 -1.673 -8.241
Pd 0.822 -1.779 -1.813
Pd 7.108 -3.288 0.870
Pd 4.182 -2.717 0.920
Pd 0.829 -1.480 -4.779
Pd 9.877 -3.182 -5.558
Pd 5.106 -2.233 -5.664
Pd 3.393 -2.125 -3.400
Pd 7.305 -2.837 -3.970
Li 3.383 -0.581 -0.840
Li 7.992 -0.947 -6.183
Li 3.097 -0.023 -5.797
Li 8.278 -1.505 -1.226
Al 5.379 -0.329 -7.206
Al 5.996 -1.199 0.183
Al 2.037 -0.084 -3.127
Al 9.337 -1.443 -3.896
Ge 0.000 0.000 0.000
Ge 5.687 -0.764 -3.511
```

Summary:
- Total DFT energy (no corrections): -4.78 eV/atom
- SG: P4/mbm (127)


(2)
Here is crystalline Ac2RuAu at its relaxed geometry from Alexandria via LeMat-Bulk. Energies are from PBE.

extended XYZ file:
```
8
Lattice="4.414 0.000 0.000 0.000 5.973 -2.218 0.000 -0.039 8.613" Properties=species:S:1:pos:R:3 pbc="T T T"
Ac 3.310 1.291 3.352
Ac 1.103 4.644 3.043
Ac 3.310 1.319 7.378
Ac 1.103 4.616 -0.983
Au 1.103 1.992 1.058
Au 3.310 3.943 5.337
Ru 3.310 4.021 0.981
Ru 1.103 1.914 5.414
```

Summary:
- Total DFT energy (no corrections): -5.64 eV/atom
- SG: P2_1/m (11)


(3)
Here is crystalline Tm8InGa2 at its relaxed geometry from Alexandria via LeMat-Bulk. Energies are from PBE.

extended XYZ file:
```
11
Lattice="5.097 0.000 0.000 0.000 8.165 -0.246 -2.548 -3.610 7.069" Properties=species:S:1:pos:R:3 pbc="T T T"
Tm 0.000 5.443 0.717
Tm 0.000 0.616 2.043
Tm 2.548 6.496 2.365
Tm 2.548 3.027 1.329
Tm 2.548 -0.888 6.107
Tm 0.000 -1.941 4.458
Tm 0.000 1.528 5.495
Tm 2.548 3.939 4.780
Ga 0.000 3.508 2.968
Ga 2.548 1.047 3.856
In 2.548 0.000 0.000
```

Summary:
- Total DFT energy (no corrections): -4.34 eV/atom
- SG: C2/m (12)


(4)
Here is crystalline KWSe2 at its relaxed geometry from Alexandria via LeMat-Bulk. Energies are from PBE.

extended XYZ file:
```
4
Lattice="-0.220 -1.969 -2.553 3.171 -0.593 0.184 -1.415 -6.078 4.809" Properties=species:S:1:pos:R:3 pbc="T T T"
K 0.414 -5.839 2.422
Se -0.624 -2.682 2.123
Se -0.083 -0.357 0.282
W 1.122 -2.800 0.018
```

Summary:
- Relative energy among the computed polymorphs: 0.067 eV/atom
- Formation energy (no corrections): -0.257 eV per atom
- SG: P4/mmm (123)


(5)
Here is crystalline Dy2Ho6Ga at its relaxed geometry from Alexandria via LeMat-Bulk. Energies are from PBE.

extended XYZ file:
```
9
Lattice="3.495 0.000 0.232 0.000 9.161 0.000 -0.578 -4.581 8.518" Properties=species:S:1:pos:R:3 pbc="T T T"
Ho 3.306 1.580 2.987
Ho 1.748 6.560 0.116
Ho -0.389 -3.001 5.763
Ho -0.389 3.001 5.763
Ho 1.748 2.601 0.116
Ho 3.306 7.581 2.987
Dy 1.380 0.000 5.593
Dy 1.537 4.581 3.157
Ga 0.000 0.000 0.000
```

Summary:
- Total DFT energy (no corrections): -4.39 eV/atom
- SG: C2/m (12)


(6)
Here is crystalline MgSn8Pd2 at its relaxed geometry from Alexandria via LeMat-Bulk. Energies are from PBE.

extended XYZ file:
```
11
Lattice="-0.640 -3.909 3.121 7.568 -1.869 1.295 2.769 3.208 6.670" Properties=species:S:1:pos:R:3 pbc="T T T"
Pd 1.632 -3.124 4.408
Pd 8.066 0.555 6.677
Sn 3.731 -1.281 4.541
Sn 5.967 -1.289 6.544
Sn 1.029 -1.507 2.342
Sn 4.203 -4.370 4.869
Sn 5.495 1.801 6.217
Sn 2.203 -2.254 7.109
Sn 7.495 -0.315 3.976
Sn 8.669 -1.062 8.743
Mg 0.000 0.000 0.000
```

Summary:
- Total DFT energy (no corrections): -4.15 eV/atom
- SG: C2/m (12)


(7)
Here is crystalline KFe3N at its relaxed geometry from Alexandria via LeMat-Bulk. Energies are from PBE.

extended XYZ file:
```
5
Lattice="4.109 0.000 0.000 0.000 4.109 0.000 0.000 0.000 4.109" Properties=species:S:1:pos:R:3 pbc="T T T"
K 2.054 2.054 2.054
Fe 0.000 0.000 2.054
Fe 0.000 2.054 0.000
Fe 2.054 0.000 0.000
N 0.000 0.000 0.000
```

Summary:
- Relative energy among the computed polymorphs: 0.000 eV/atom
- Formation energy (no corrections): 0.759 eV per atom
- SG: Pm-3m (221)


(8)
Here is crystalline MgCuSn3 at its relaxed geometry from Alexandria via LeMat-Bulk. Energies are from PBE.

extended XYZ file:
```
5
Lattice="5.138 0.000 0.000 0.000 5.138 0.000 0.000 0.000 5.138" Properties=species:S:1:pos:R:3 pbc="T T T"
Sn 0.000 0.000 2.569
Sn 0.000 2.569 0.000
Sn 2.569 0.000 0.000
Cu 0.000 0.000 0.000
Mg 2.569 2.569 2.569
```

Summary:
- Relative energy among the computed polymorphs: 0.000 eV/atom
- SG: Pm-3m (221)


(9)
Here is crystalline Fe5Cu4 at its relaxed geometry from Alexandria via LeMat-Bulk. Energies are from PBE.

extended XYZ file:
```
9
Lattice="-4.302 4.302 1.441 4.302 -4.302 1.441 4.302 4.302 -1.441" Properties=species:S:1:pos:R:3 pbc="T T T"
Cu 5.733 0.000 0.000
Cu 0.000 2.872 0.000
Cu 2.872 0.000 0.000
Cu 0.000 5.733 0.000
Fe 1.436 -1.436 1.441
Fe 1.436 1.436 1.441
Fe 2.866 2.866 0.000
Fe 0.000 0.000 0.000
Fe -1.436 1.436 1.441
```

Summary:
- Total DFT energy (no corrections): -6.38 eV/atom
- SG: I4/mmm (139)


(10)
Here is crystalline LiAgO2 at its relaxed geometry from Alexandria via LeMat-Bulk. Energies are from PBE.

extended XYZ file:
```
4
Lattice="3.334 0.000 0.000 1.990 2.675 0.000 2.476 1.244 5.131" Properties=species:S:1:pos:R:3 pbc="T T T"
O 2.343 1.177 3.737
O 5.456 2.742 1.395
Ag 2.662 1.337 0.000
Li 3.900 1.959 2.566
```

Summary:
- Formation energy (no corrections): -0.726 eV per atom
- SG: C2/m (12)


(11)
Here is crystalline MnAl2Ir2 at its relaxed geometry from Alexandria via LeMat-Bulk. Energies are from PBE.

extended XYZ file:
```
10
Lattice="7.112 0.000 0.000 0.000 7.112 0.000 0.000 0.000 2.795" Properties=species:S:1:pos:R:3 pbc="T T T"
Ir 5.938 2.381 1.398
Ir 1.175 4.731 1.398
Ir 2.381 1.175 1.398
Ir 4.731 5.938 1.398
Al 0.957 2.599 0.000
Al 4.513 0.957 0.000
Al 2.599 6.155 0.000
Al 6.155 4.513 0.000
Mn 0.000 0.000 0.000
Mn 3.556 3.556 0.000
```

Summary:
- Relative energy among the computed polymorphs: 0.255 eV/atom
- SG: P4/mbm (127)


(12)
Here is crystalline Ac2TlI at its relaxed geometry from Alexandria via LeMat-Bulk. Energies are from PBE.

extended XYZ file:
```
8
Lattice="4.884 0.000 0.000 -2.442 4.230 0.000 0.000 0.000 16.059" Properties=species:S:1:pos:R:3 pbc="T T T"
Tl 0.000 0.000 8.029
Tl 0.000 0.000 0.000
I 2.442 1.410 4.015
I 0.000 2.820 12.044
Ac 0.000 2.820 6.306
Ac 2.442 1.410 14.335
Ac 2.442 1.410 9.753
Ac 0.000 2.820 1.724
```

Summary:
- Relative energy among the computed polymorphs: 0.022 eV/atom
- Formation energy (no corrections): -0.626 eV per atom
- SG: P6_3/mmc (194)


(13)
Here is crystalline MgCoSbRh at its relaxed geometry from Alexandria via LeMat-Bulk. Energies are from PBE.

extended XYZ file:
```
4
Lattice="4.428 0.000 0.000 2.214 3.835 0.000 2.214 1.278 3.616" Properties=species:S:1:pos:R:3 pbc="T T T"
Mg 4.428 2.557 1.808
Sb 0.000 0.000 0.000
Rh 6.642 3.835 2.712
Co 2.214 1.278 0.904
```

Summary:
- Formation energy (no corrections): -0.291 eV per atom
- SG: F-43m (216)